No. 1
VASP calculation (PBE) on a geometry-optimized LaSm4Se5 structure.

Cell lengths 13.9520, 4.1999, 10.2906 Å; angles 90.00, 119.63, 90.00 degrees
Space group C2/m (No. 12)
One atom of each set of equivalent atoms:
La: 0.0000 0.0000 0.0000 [2 per cell]
Sm: 0.0981 0.5000 0.3988 [4 per cell]
Sm: 0.2011 0.0000 0.7972 [4 per cell]
Se: 0.0000 0.0000 0.5000 [2 per cell]
Se: 0.1044 0.5000 0.8977 [4 per cell]
Se: 0.2020 0.0000 0.3063 [4 per cell]

Results
ΔE_f (raw)   -1855 meV per atom
Excess energy over the best structure of this formula in the dataset   0.0 meV/atom
Calculated total energy   -5.98 eV/atom
D(E_F)   0.49 states/eV/atom
Total magnetic moment   0.0000 μB per atom

***

No. 2
VASP calculation (PBE) on a geometry-optimized KLiNi3 structure.

Cell lengths 4.3728, 4.3728, 4.3728 Å; angles 90.00, 90.00, 90.00 degrees
Space group Pm-3m (No. 221)
One atom of each set of equivalent atoms:
K: 0.0000 0.0000 0.0000 [1 per cell]
Li: 0.5000 0.5000 0.5000 [1 per cell]
Ni: 0.0000 0.5000 0.5000 [3 per cell]

Results
Excess energy over the best structure of this formula in the dataset   0.0 meV/atom
Calculated total energy   -3.09 eV/atom
D(E_F)   1.42 states/eV/atom
Energy relative to the elements   0.98 eV per atom
Total magnetic moment   0.2045 μB per atom

***

Question: Which of these has the lowest total magnetic moment?
Answer: LaSm4Se5